--- w ---
DFT (PBE) results for a relaxed AlAgAs2Se crystal.

Geometry as CIF:
```
data_AlAgAs2Se
_cell_length_a 5.0163
_cell_length_b 5.0163
_cell_length_c 5.1618
_cell_angle_alpha 90.00
_cell_angle_beta 90.00
_cell_angle_gamma 90.00
_space_group_name_H-M_alt 'P 4/m m m'
_space_group_IT_number 123
_space_group_name_Hall '-P 4 2'
loop_
_atom_site_label
_atom_site_type_symbol
_atom_site_fract_x
_atom_site_fract_y
_atom_site_fract_z
_atom_site_occupancy
Al1 Al 0.0000 0.0000 0.0000 1
Ag1 Ag 0.5000 0.5000 0.5000 1
As1 As 0.0000 0.5000 0.5000 1
Se1 Se 0.5000 0.5000 0.0000 1
```


--- x ---
DFT (PBE) results for a relaxed AlAgAs2Se crystal.

Geometry as CIF:
```
data_AlAgAs2Se
_cell_length_a 4.8555
_cell_length_b 4.8555
_cell_length_c 4.9566
_cell_angle_alpha 90.00
_cell_angle_beta 90.00
_cell_angle_gamma 90.00
_space_group_name_H-M_alt 'P 4/m m m'
_space_group_IT_number 123
_space_group_name_Hall '-P 4 2'
loop_
_atom_site_label
_atom_site_type_symbol
_atom_site_fract_x
_atom_site_fract_y
_atom_site_fract_z
_atom_site_occupancy
Al1 Al 0.0000 0.0000 0.0000 1
Ag1 Ag 0.5000 0.5000 0.5000 1
As1 As 0.0000 0.5000 0.0000 1
Se1 Se 0.0000 0.0000 0.5000 1
```


w is the least stable structure shown above.